Computed, not measured: a geometry-optimized Ca2OsBr structure at the PBE level of DFT.

The structure in extended XYZ format:
```
4
Lattice="3.341 0.000 0.000 0.000 3.341 0.000 0.000 0.000 10.224" Properties=species:S:1:pos:R:3 pbc="T T T"
Ca 0.000 0.000 0.000
Ca 1.670 1.670 3.440
Os 0.000 0.000 5.270
Br 1.670 1.670 8.547
```

Formation energy without anion corrections = 1.33 eV/f.u.
N(E_F) = 2.5 states/eV/cell
Calculated density = 5.1 Mg/m³